## MnTl2O2 (PBE+U)

Data for a relaxed structure of MnTl2O2.

E in eV per atom: -4.498
Fermi-level density of states in states/eV per cell: 2.18
Excess energy over the best structure of this formula in the dataset in eV per atom: 0.000
Density in Mg/m³: 8.65

```
MnTl2O2
1.0
-2.0639 2.0639 5.5874
2.0639 -2.0639 5.5874
2.0639 2.0639 -5.5874
Mn Tl O
1 2 2
direct
0.0000 0.0000 0.0000
0.3522 0.3522 0.0000
0.6478 0.6478 0.0000
0.2500 0.7500 0.5000
0.7500 0.2500 0.5000
```